No. 1
# GGA-PBE ZnCuPb2, optimized geometry
# - E_form: 1.0 eV/f.u.
data_ZnCuPb2
_chemical_formula_sum 'Zn2 Cu2 Pb4'
_cell_length_a 7.9152
_cell_length_b 3.9214
_cell_length_c 6.5034
_cell_angle_alpha 90.00
_cell_angle_beta 107.76
_cell_angle_gamma 90.00
_symmetry_space_group_name_H-M 'C 1 2/m 1'
_symmetry_Int_Tables_number 12
loop_
_symmetry_equiv_pos_as_xyz
'x,y,z'
'-x,-y,-z'
'-x,y,-z'
'x,-y,z'
'x+1/2,y+1/2,z'
'-x+1/2,-y+1/2,-z'
'-x+1/2,y+1/2,-z'
'x+1/2,-y+1/2,z'
loop_
_atom_site_label
_atom_site_fract_x
_atom_site_fract_y
_atom_site_fract_z
_atom_site_occupancy
Zn1 0.0000 0.0000 0.0000 1
Cu1 0.0000 0.5000 0.5000 1
Pb1 0.2379 0.0000 0.7211 1

=====

No. 2
# GGA-PBE ZnCuPb2, optimized geometry
# - E_form: 1.0 eV/f.u.
data_ZnCuPb2
_chemical_formula_sum 'Zn2 Cu2 Pb4'
_cell_length_a 7.0077
_cell_length_b 7.1823
_cell_length_c 3.6361
_cell_angle_alpha 90.00
_cell_angle_beta 90.00
_cell_angle_gamma 90.00
_symmetry_space_group_name_H-M 'C m m m'
_symmetry_Int_Tables_number 65
_symmetry_space_group_name_Hall '-C 2 2'
loop_
_atom_site_label
_atom_site_fract_x
_atom_site_fract_y
_atom_site_fract_z
_atom_site_occupancy
Zn1 0.0000 0.0000 0.0000 1
Cu1 0.0000 0.5000 0.0000 1
Pb1 0.2500 0.2500 0.5000 1

=====

No. 3
# GGA-PBE ZnCu2Pb, optimized geometry
# - E_form: 1.2 eV/f.u.
data_ZnCu2Pb
_chemical_formula_sum 'Zn4 Cu8 Pb4'
_cell_length_a 4.2323
_cell_length_b 4.2323
_cell_length_c 17.3135
_cell_angle_alpha 90.00
_cell_angle_beta 90.00
_cell_angle_gamma 90.00
_symmetry_space_group_name_H-M 'I -4 2 d'
_symmetry_Int_Tables_number 122
_symmetry_space_group_name_Hall 'I -4 2bw'
loop_
_atom_site_label
_atom_site_fract_x
_atom_site_fract_y
_atom_site_fract_z
_atom_site_occupancy
Zn1 0.0000 0.0000 0.0000 1
Cu1 0.1593 0.2500 0.1250 1
Pb1 0.0000 0.0000 0.5000 1

=====

No. 4
# GGA-PBE ZnCuPb2, optimized geometry
# - E_form: 1.3 eV/f.u.
data_ZnCuPb2
_chemical_formula_sum 'Zn4 Cu4 Pb8'
_cell_length_a 7.7868
_cell_length_b 7.7868
_cell_length_c 6.4469
_cell_angle_alpha 90.00
_cell_angle_beta 90.00
_cell_angle_gamma 90.00
_symmetry_space_group_name_H-M 'I -4 2 d'
_symmetry_Int_Tables_number 122
_symmetry_space_group_name_Hall 'I -4 2bw'
loop_
_atom_site_label
_atom_site_fract_x
_atom_site_fract_y
_atom_site_fract_z
_atom_site_occupancy
Zn1 0.0000 0.0000 0.0000 1
Cu1 0.0000 0.0000 0.5000 1
Pb1 0.2266 0.2500 0.6250 1

=====

No. 5
# GGA-PBE Zn2CuPb, optimized geometry
# - E_form: 1.0 eV/f.u.
data_Zn2CuPb
_chemical_formula_sum 'Zn4 Cu2 Pb2'
_cell_length_a 5.3615
_cell_length_b 10.5972
_cell_length_c 3.1642
_cell_angle_alpha 90.00
_cell_angle_beta 120.57
_cell_angle_gamma 90.00
_symmetry_space_group_name_H-M 'C 1 2/m 1'
_symmetry_Int_Tables_number 12
loop_
_symmetry_equiv_pos_as_xyz
'x,y,z'
'-x,-y,-z'
'-x,y,-z'
'x,-y,z'
'x+1/2,y+1/2,z'
'-x+1/2,-y+1/2,-z'
'-x+1/2,y+1/2,-z'
'x+1/2,-y+1/2,z'
loop_
_atom_site_label
_atom_site_fract_x
_atom_site_fract_y
_atom_site_fract_z
_atom_site_occupancy
Zn1 0.2500 0.2500 0.0000 1
Cu1 0.0000 0.0000 0.0000 1
Pb1 0.0000 0.5000 0.0000 1

=====

No. 6
# GGA-PBE Zn2CuPb, optimized geometry
# - E_form: 0.5 eV/f.u.
data_Zn2CuPb
_chemical_formula_sum 'Zn4 Cu2 Pb2'
_cell_length_a 7.3490
_cell_length_b 4.2464
_cell_length_c 5.6391
_cell_angle_alpha 90.00
_cell_angle_beta 115.58
_cell_angle_gamma 90.00
_symmetry_space_group_name_H-M 'C 1 2/m 1'
_symmetry_Int_Tables_number 12
loop_
_symmetry_equiv_pos_as_xyz
'x,y,z'
'-x,-y,-z'
'-x,y,-z'
'x,-y,z'
'x+1/2,y+1/2,z'
'-x+1/2,-y+1/2,-z'
'-x+1/2,y+1/2,-z'
'x+1/2,-y+1/2,z'
loop_
_atom_site_label
_atom_site_fract_x
_atom_site_fract_y
_atom_site_fract_z
_atom_site_occupancy
Zn1 0.2052 0.0000 0.1164 1
Cu1 0.0000 0.5000 0.0000 1
Pb1 0.0000 0.0000 0.5000 1

=====

No. 7
# GGA-PBE Zn2CuPb, optimized geometry
# - E_form: 0.9 eV/f.u.
data_Zn2CuPb
_chemical_formula_sum 'Zn6 Cu3 Pb3'
_cell_length_a 3.2575
_cell_length_b 3.2575
_cell_length_c 26.0132
_cell_angle_alpha 90.00
_cell_angle_beta 90.00
_cell_angle_gamma 120.00
_symmetry_space_group_name_H-M 'R -3 m'
_symmetry_Int_Tables_number 166
_symmetry_space_group_name_Hall '-R 3 2"'
loop_
_atom_site_label
_atom_site_fract_x
_atom_site_fract_y
_atom_site_fract_z
_atom_site_occupancy
Zn1 0.0000 0.0000 0.2307 1
Cu1 0.0000 0.0000 0.5000 1
Pb1 0.0000 0.0000 0.0000 1

=====

No. 8
# GGA-PBE ZnCu3Pb, optimized geometry
# - E_form: 4.7 eV/f.u.
data_ZnCu3Pb
_chemical_formula_sum 'Zn1 Cu3 Pb1'
_cell_length_a 4.9826
_cell_length_b 4.9826
_cell_length_c 4.9826
_cell_angle_alpha 90.00
_cell_angle_beta 90.00
_cell_angle_gamma 90.00
_symmetry_space_group_name_H-M 'P m -3 m'
_symmetry_Int_Tables_number 221
_symmetry_space_group_name_Hall '-P 4 2 3'
loop_
_atom_site_label
_atom_site_fract_x
_atom_site_fract_y
_atom_site_fract_z
_atom_site_occupancy
Zn1 0.0000 0.0000 0.0000 1
Cu1 0.0000 0.5000 0.5000 1
Pb1 0.5000 0.5000 0.5000 1

=====

No. 9
# GGA-PBE Zn2CuPb, optimized geometry
# - E_form: 0.7 eV/f.u.
data_Zn2CuPb
_chemical_formula_sum 'Zn2 Cu1 Pb1'
_cell_length_a 3.5830
_cell_length_b 4.4665
_cell_length_c 5.0231
_cell_angle_alpha 90.00
_cell_angle_beta 92.09
_cell_angle_gamma 90.00
_symmetry_space_group_name_H-M 'P 1 2/m 1'
_symmetry_Int_Tables_number 10
loop_
_symmetry_equiv_pos_as_xyz
'x,y,z'
'-x,-y,-z'
'-x,y,-z'
'x,-y,z'
loop_
_atom_site_label
_atom_site_fract_x
_atom_site_fract_y
_atom_site_fract_z
_atom_site_occupancy
Zn1 0.0176 0.0000 0.2551 1
Cu1 0.0000 0.5000 0.5000 1
Pb1 0.5000 0.5000 0.0000 1

=====

No. 10
# GGA-PBE ZnCu3Pb, optimized geometry
# - E_form: 2.4 eV/f.u.
data_ZnCu3Pb
_chemical_formula_sum 'Zn1 Cu3 Pb1'
_cell_length_a 4.5716
_cell_length_b 4.5716
_cell_length_c 4.5716
_cell_angle_alpha 90.00
_cell_angle_beta 90.00
_cell_angle_gamma 90.00
_symmetry_space_group_name_H-M 'P m -3 m'
_symmetry_Int_Tables_number 221
_symmetry_space_group_name_Hall '-P 4 2 3'
loop_
_atom_site_label
_atom_site_fract_x
_atom_site_fract_y
_atom_site_fract_z
_atom_site_occupancy
Zn1 0.0000 0.0000 0.0000 1
Cu1 0.0000 0.0000 0.5000 1
Pb1 0.5000 0.5000 0.5000 1

=====

No. 11
# GGA-PBE Zn2CuPb, optimized geometry
# - E_form: 1.0 eV/f.u.
data_Zn2CuPb
_chemical_formula_sum 'Zn2 Cu1 Pb1'
_cell_length_a 4.0910
_cell_length_b 4.0910
_cell_length_c 4.4377
_cell_angle_alpha 90.00
_cell_angle_beta 90.00
_cell_angle_gamma 90.00
_symmetry_space_group_name_H-M 'P 4/m m m'
_symmetry_Int_Tables_number 123
_symmetry_space_group_name_Hall '-P 4 2'
loop_
_atom_site_label
_atom_site_fract_x
_atom_site_fract_y
_atom_site_fract_z
_atom_site_occupancy
Zn1 0.0000 0.5000 0.0000 1
Cu1 0.0000 0.0000 0.5000 1
Pb1 0.5000 0.5000 0.5000 1

=====

No. 12
# GGA-PBE ZnCuPb2, optimized geometry
# - E_form: 1.6 eV/f.u.
data_ZnCuPb2
_chemical_formula_sum 'Zn4 Cu4 Pb8'
_cell_length_a 7.2409
_cell_length_b 7.2409
_cell_length_c 7.2409
_cell_angle_alpha 90.00
_cell_angle_beta 90.00
_cell_angle_gamma 90.00
_symmetry_space_group_name_H-M 'F -4 3 m'
_symmetry_Int_Tables_number 216
_symmetry_space_group_name_Hall 'F -4 2 3'
loop_
_atom_site_label
_atom_site_fract_x
_atom_site_fract_y
_atom_site_fract_z
_atom_site_occupancy
Zn1 0.0000 0.0000 0.0000 1
Cu1 0.2500 0.2500 0.7500 1
Pb1 0.0000 0.0000 0.5000 1
Pb2 0.2500 0.2500 0.2500 1

=====

No. 13
# GGA-PBE ZnCuPb3, optimized geometry
# - E_form: 1.8 eV/f.u.
data_ZnCuPb3
_chemical_formula_sum 'Zn1 Cu1 Pb3'
_cell_length_a 5.2777
_cell_length_b 5.2777
_cell_length_c 5.2777
_cell_angle_alpha 90.00
_cell_angle_beta 90.00
_cell_angle_gamma 90.00
_symmetry_space_group_name_H-M 'P m -3 m'
_symmetry_Int_Tables_number 221
_symmetry_space_group_name_Hall '-P 4 2 3'
loop_
_atom_site_label
_atom_site_fract_x
_atom_site_fract_y
_atom_site_fract_z
_atom_site_occupancy
Zn1 0.0000 0.0000 0.0000 1
Cu1 0.5000 0.5000 0.5000 1
Pb1 0.0000 0.5000 0.5000 1

=====

No. 14
# GGA-PBE Zn2CuPb, optimized geometry
# - E_form: 0.9 eV/f.u.
data_Zn2CuPb
_chemical_formula_sum 'Zn4 Cu2 Pb2'
_cell_length_a 5.3588
_cell_length_b 6.8724
_cell_length_c 4.0850
_cell_angle_alpha 90.00
_cell_angle_beta 90.00
_cell_angle_gamma 90.00
_symmetry_space_group_name_H-M 'C m m m'
_symmetry_Int_Tables_number 65
_symmetry_space_group_name_Hall '-C 2 2'
loop_
_atom_site_label
_atom_site_fract_x
_atom_site_fract_y
_atom_site_fract_z
_atom_site_occupancy
Zn1 0.2500 0.2500 0.0000 1
Cu1 0.0000 0.0000 0.5000 1
Pb1 0.0000 0.5000 0.5000 1

=====

No. 15
# GGA-PBE ZnCu2Pb, optimized geometry
# - E_form: 1.0 eV/f.u.
data_ZnCu2Pb
_chemical_formula_sum 'Zn2 Cu4 Pb2'
_cell_length_a 4.0396
_cell_length_b 4.0396
_cell_length_c 8.3252
_cell_angle_alpha 90.00
_cell_angle_beta 90.00
_cell_angle_gamma 90.00
_symmetry_space_group_name_H-M 'I -4 m 2'
_symmetry_Int_Tables_number 119
_symmetry_space_group_name_Hall 'I -4 -2'
loop_
_atom_site_label
_atom_site_fract_x
_atom_site_fract_y
_atom_site_fract_z
_atom_site_occupancy
Zn1 0.0000 0.0000 0.0000 1
Cu1 0.0000 0.0000 0.5000 1
Cu2 0.0000 0.5000 0.7500 1
Pb1 0.0000 0.5000 0.2500 1

=====

| no. | total energy (eV per atom) |
| --- | --- |
| 1 | -2.953 |
| 2 | -2.936 |
| 3 | -2.982 |
| 4 | -2.876 |
| 5 | -2.327 |
| 6 | -2.472 |
| 7 | -2.364 |
| 8 | -2.509 |
| 9 | -2.415 |
| 10 | -2.975 |
| 11 | -2.344 |
| 12 | -2.801 |
| 13 | -2.934 |
| 14 | -2.357 |
| 15 | -3.042 |